Record 1
The following is a DFT calculation (GGA-PBE) of crystalline HgP3 at its relaxed geometry.

Properties
DOS at the Fermi energy ... 2.05 states/eV/f.u.
ΔE to the lowest computed polymorph ... 477 meV per atom
Calculated formation energy ... 0.587 eV per atom

Lattice parameters (Å, degrees): 12.5617 12.5617 12.5617 164.22 164.22 22.39
Element x y z (fractional)
P  0.2500  0.7500  0.5000
Hg  0.3922  0.3922  0.0000
P  0.7500  0.2500  0.5000
P  0.1669  0.1669  0.0000
P  0.0000  0.5000  0.5000
Hg  0.6078  0.6078  0.0000
P  0.5000  0.0000  0.5000
P  0.8331  0.8331  0.0000

=====

Record 2
The following is a DFT calculation (GGA-PBE) of crystalline Hg5P at its relaxed geometry.

Properties
DOS at the Fermi energy ... 2.32 states/eV/f.u.
ΔE to the lowest computed polymorph ... 123 meV per atom
Calculated formation energy ... 0.282 eV per atom

Lattice parameters (Å, degrees): 2.9557 2.9557 17.2748 90.00 90.00 90.00
Element x y z (fractional)
P  0.5000  0.5000  0.0000
Hg  0.0000  0.0000  0.5000
Hg  0.5000  0.5000  0.6787
Hg  0.0000  0.0000  0.8542
Hg  0.0000  0.0000  0.1458
Hg  0.5000  0.5000  0.3213